No. 1
Crystalline NdHoRhAu at its relaxed geometry. Source: Alexandria, functional PBE.

DFT total energy in eV/f.u.: -22.980
Polymorph energy (0 for the lowest one) in eV per atom: 0.051
M_tot in μB per atom: 0.000
Crystal system: cubic
Density of states at the Fermi level in states/eV/f.u.: 4.0

Cell: 5.0487 5.0487 5.0487 Å, 60.00 60.00 60.00°
Last column: nearest neighbours and their distance in Å.
Fractional coordinates of all 4 atoms:
Au: 0.5000 0.5000 0.5000  4 Ho 3.09, 4 Nd 3.09
Ho: 0.2500 0.2500 0.2500  4 Rh 3.09, 4 Au 3.09
Rh: 0.0000 0.0000 0.0000  4 Ho 3.09, 4 Nd 3.09
Nd: 0.7500 0.7500 0.7500  4 Rh 3.09, 4 Au 3.09

No. 2
Crystalline NdHoRuAu at its relaxed geometry. Source: Alexandria, functional PBE.

DFT total energy in eV/f.u.: -23.865
M_tot in μB per atom: 0.000
Crystal system: cubic
Density of states at the Fermi level in states/eV/f.u.: 3.0

Cell: 5.0260 5.0260 5.0260 Å, 60.00 60.00 60.00°
Last column: nearest neighbours and their distance in Å.
Fractional coordinates of all 4 atoms:
Ho: 0.0000 0.0000 0.0000  4 Ru 3.08, 4 Au 3.08
Nd: 0.5000 0.5000 0.5000  4 Au 3.08, 4 Ru 3.08
Ru: 0.7500 0.7500 0.7500  4 Ho 3.08, 4 Nd 3.08
Au: 0.2500 0.2500 0.2500  4 Ho 3.08, 4 Nd 3.08